# 1
The following is a DFT calculation (PBE) of a relaxed CdCoCu2P crystal.

a = 4.3401 Å, b = 4.3401 Å, c = 4.2061 Å
α = 90.00°, β = 90.00°, γ = 90.00°
Last column: nearest neighbours and their distance in Å.
Space group P4/mmm (No. 123)
Symmetry-distinct sites (fractional):
Cd  0.0000  0.0000  0.0000 [1 per cell]  8 Cu 3.02, 4 Co 3.07
Co  0.5000  0.5000  0.0000 [1 per cell]  2 P 2.10
Cu  0.0000  0.5000  0.5000 [2 per cell]  2 P 2.17
P  0.5000  0.5000  0.5000 [1 per cell]  2 Co 2.10, 4 Cu 2.17

Output
Total DFT energy (no corrections)   -20.77 eV for the cell shown
Size of the total moment   0.025 μB per atom
V   15.85 Å³/atom
Crystal system   tetragonal

# 2
The following is a DFT calculation (PBE) of a relaxed LiRuOF2 crystal.

a = 3.4437 Å, b = 3.4437 Å, c = 4.1267 Å
α = 90.00°, β = 90.00°, γ = 90.00°
Last column: nearest neighbours and their distance in Å.
Space group P4/mmm (No. 123)
Symmetry-distinct sites (fractional):
Li  0.0000  0.0000  0.0000 [1 per cell]  4 F 1.72
Ru  0.5000  0.5000  0.5000 [1 per cell]  4 O 2.44, 8 F 2.69
O  0.0000  0.0000  0.5000 [1 per cell]  2 Li 2.06
F  0.0000  0.5000  0.0000 [2 per cell]  2 Li 1.72

Output
Energy above the most stable polymorph in this dataset   467 meV/atom
Total DFT energy (no corrections)   -24.62 eV for the cell shown
Size of the total moment   0.856 μB per atom
V   9.79 Å³/atom
Crystal system   tetragonal
Formation energy (no corrections)   -946 meV per atom

# 3
The following is a DFT calculation (PBE) of a relaxed SmHgBi2O4 crystal.

a = 4.0106 Å, b = 4.0106 Å, c = 9.1619 Å
α = 90.00°, β = 90.00°, γ = 90.00°
Last column: nearest neighbours and their distance in Å.
Space group P4/mmm (No. 123)
Symmetry-distinct sites (fractional):
Sm  0.0000  0.0000  0.0000 [1 per cell]  8 O 2.46
Hg  0.0000  0.0000  0.5000 [1 per cell]  8 Bi 3.51, 8 O 3.74
Bi  0.5000  0.5000  0.2741 [2 per cell]  4 O 2.28
O  0.0000  0.5000  0.1558 [4 per cell]  2 Bi 2.28, 2 Sm 2.46

Output
Total DFT energy (no corrections)   -45.82 eV for the cell shown
Size of the total moment   0.000 μB per atom
V   18.42 Å³/atom
Crystal system   tetragonal
Formation energy (no corrections)   -1650 meV per atom

# 4
The following is a DFT calculation (PBE) of a relaxed AcMgAl2Cu4 crystal.

a = 4.2508 Å, b = 4.2508 Å, c = 28.0216 Å
α = 90.00°, β = 90.00°, γ = 120.00°
Last column: nearest neighbours and their distance in Å.
Space group R-3m (No. 166, hexagonal axes)
Symmetry-distinct sites (fractional):
Ac  0.0000  0.0000  0.0000 [3 per cell]  8 Cu 3.25-3.28
Mg  0.0000  0.0000  0.5000 [3 per cell]  8 Cu 2.54-2.82
Al  0.0000  0.0000  0.2370 [6 per cell]  6 Cu 2.52
Cu  0.0000  0.0000  0.1171 [6 per cell]  3 Al 2.52, 3 Cu 2.71, 3 Mg 2.82
Cu  0.0000  0.0000  0.4095 [6 per cell]  3 Al 2.52, 1 Mg 2.54, 3 Cu 2.71

Output
Total DFT energy (no corrections)   -93.97 eV for the cell shown
Size of the total moment   0.000 μB per atom
V   18.27 Å³/atom
Crystal system   trigonal

# 5
The following is a DFT calculation (PBE) of a relaxed Y2PuHg9 crystal.

a = 4.5707 Å, b = 4.7387 Å, c = 13.8224 Å
α = 90.00°, β = 90.00°, γ = 90.00°
Last column: nearest neighbours and their distance in Å.
Space group Pmmm (No. 47)
Symmetry-distinct sites (fractional):
Y  0.0000  0.0000  0.1638 [2 per cell]  12 Hg 3.22-3.30
Pu  0.0000  0.0000  0.5000 [1 per cell]  12 Hg 3.29-3.34
Hg  0.0000  0.5000  0.0000 [1 per cell]  8 Hg 3.19-3.29, 4 Y 3.28
Hg  0.0000  0.5000  0.3297 [2 per cell]  8 Hg 3.26-3.29, 2 Y 3.30, 2 Pu 3.34
Hg  0.5000  0.0000  0.0000 [1 per cell]  4 Y 3.22, 8 Hg 3.25-3.29
Hg  0.5000  0.0000  0.3284 [2 per cell]  2 Y 3.23, 8 Hg 3.29-3.35, 2 Pu 3.29
Hg  0.5000  0.5000  0.1613 [2 per cell]  8 Hg 3.19-3.31, 4 Y 3.29
Hg  0.5000  0.5000  0.5000 [1 per cell]  8 Hg 3.28-3.35, 4 Pu 3.29

Output
Total DFT energy (no corrections)   -32.94 eV for the cell shown
Size of the total moment   0.553 μB per atom
V   24.95 Å³/atom
Crystal system   orthorhombic

# 6
The following is a DFT calculation (PBE) of a relaxed CsIn4Ag2 crystal.

a = 9.5872 Å, b = 9.5872 Å, c = 4.3527 Å
α = 90.00°, β = 90.00°, γ = 90.00°
Last column: nearest neighbours and their distance in Å.
Space group P4_2/mnm (No. 136)
Symmetry-distinct sites (fractional):
Cs  0.0000  0.0000  0.0000 [2 per cell]  6 Ag 3.74, 8 In 3.94
In  0.0705  0.3358  0.5000 [8 per cell]  3 Ag 2.99-3.02, 4 In 3.26
Ag  0.2240  0.7760  0.5000 [4 per cell]  6 In 2.99-3.02

Output
Total DFT energy (no corrections)   -35.33 eV for the cell shown
Size of the total moment   0.000 μB per atom
V   28.58 Å³/atom
Crystal system   tetragonal

# 7
The following is a DFT calculation (PBE) of a relaxed IrOsF crystal.

a = 2.7192 Å, b = 2.7192 Å, c = 11.9378 Å
α = 90.00°, β = 90.00°, γ = 90.00°
Last column: nearest neighbours and their distance in Å.
Space group I4mm (No. 107)
Symmetry-distinct sites (fractional):
Ir  0.0000  0.0000  0.0000 [2 per cell]  1 F 2.17
Os  0.0000  0.0000  0.6471 [2 per cell]  1 F 2.05
F  0.0000  0.0000  0.8186 [2 per cell]  1 Os 2.05, 1 Ir 2.17

Output
Energy above the most stable polymorph in this dataset   177 meV/atom
Total DFT energy (no corrections)   -44.80 eV for the cell shown
Size of the total moment   0.000 μB per atom
V   14.71 Å³/atom
Crystal system   tetragonal
Formation energy (no corrections)   -145 meV per atom

# 8
The following is a DFT calculation (PBE) of a relaxed Pm3Pr2Dy6Er crystal.

a = 6.2323 Å, b = 10.7908 Å, c = 11.8710 Å
α = 90.00°, β = 100.04°, γ = 90.00°
Last column: nearest neighbours and their distance in Å.
Space group C2/m (No. 12)
Symmetry-distinct sites (fractional):
Pm  0.0000  0.0000  0.0000 [2 per cell]  6 Dy 3.58-3.59, 6 Pm 3.60
Pm  0.0000  0.3333  0.0000 [4 per cell]  6 Dy 3.58-3.59, 6 Pm 3.60
Pr  0.0000  0.1665  0.5000 [4 per cell]  6 Dy 3.59, 3 Pr 3.59-3.60, 3 Er 3.60
Dy  0.2486  0.5000  0.2496 [4 per cell]  3 Pm 3.58-3.59, 1 Er 3.58, 6 Dy 3.59-3.60, 2 Pr 3.59
Dy  0.2503  0.1662  0.2499 [8 per cell]  3 Pm 3.58-3.59, 1 Er 3.58, 2 Pr 3.59, 6 Dy 3.59-3.60
Er  0.0000  0.5000  0.5000 [2 per cell]  6 Dy 3.58, 6 Pr 3.60

Output
Total DFT energy (no corrections)   -111.64 eV for the cell shown
Size of the total moment   0.000 μB per atom
V   32.75 Å³/atom
Crystal system   monoclinic

# 9
The following is a DFT calculation (PBE) of a relaxed Tb4TlAg2Rh crystal.

a = 5.1578 Å, b = 5.1578 Å, c = 25.0065 Å
α = 90.00°, β = 90.00°, γ = 120.00°
Last column: nearest neighbours and their distance in Å.
Space group R-3m (No. 166, hexagonal axes)
Symmetry-distinct sites (fractional):
Tb  0.0000  0.0000  0.1147 [6 per cell]  1 Rh 2.87, 4 Ag 3.04-3.19
Tb  0.0000  0.0000  0.3679 [6 per cell]  3 Rh 3.10, 4 Ag 3.14-3.30, 1 Tl 3.30, 3 Tb 3.44
Tl  0.0000  0.0000  0.5000 [3 per cell]  8 Tb 3.25-3.30, 6 Ag 3.53
Ag  0.0000  0.0000  0.2423 [6 per cell]  8 Tb 3.04-3.30
Rh  0.0000  0.0000  0.0000 [3 per cell]  8 Tb 2.87-3.10

Output
Total DFT energy (no corrections)   -113.32 eV for the cell shown
Size of the total moment   0.000 μB per atom
V   24.01 Å³/atom
Crystal system   trigonal

# 10
The following is a DFT calculation (PBE) of a relaxed Nb2VCo9 crystal.

a = 3.6201 Å, b = 3.6201 Å, c = 10.8090 Å
α = 90.00°, β = 90.00°, γ = 90.00°
Last column: nearest neighbours and their distance in Å.
Space group P4/mmm (No. 123)
Symmetry-distinct sites (fractional):
Nb  0.0000  0.0000  0.1702 [2 per cell]  12 Co 2.56-2.61
V  0.0000  0.0000  0.5000 [1 per cell]  12 Co 2.48-2.56
Co  0.0000  0.5000  0.0000 [2 per cell]  8 Co 2.56-2.59, 4 Nb 2.58
Co  0.0000  0.5000  0.3436 [4 per cell]  8 Co 2.48-2.60, 2 V 2.48, 2 Nb 2.61
Co  0.5000  0.5000  0.1710 [2 per cell]  4 Nb 2.56, 8 Co 2.59-2.60
Co  0.5000  0.5000  0.5000 [1 per cell]  8 Co 2.48, 4 V 2.56

Output
Total DFT energy (no corrections)   -95.02 eV for the cell shown
Size of the total moment   0.395 μB per atom
V   11.80 Å³/atom
Crystal system   tetragonal

# 11
The following is a DFT calculation (PBE) of a relaxed TlPt4S8 crystal.

a = 7.2030 Å, b = 7.2030 Å, c = 22.1629 Å
α = 90.00°, β = 90.00°, γ = 120.00°
Last column: nearest neighbours and their distance in Å.
Space group R-3m (No. 166, hexagonal axes)
Symmetry-distinct sites (fractional):
Tl  0.0000  0.0000  0.0000 [3 per cell]  6 S 3.21
Pt  0.0000  0.0000  0.5000 [3 per cell]  6 S 2.43
Pt  0.0000  0.5000  0.5000 [9 per cell]  6 S 2.41
S  0.0000  0.0000  0.2220 [6 per cell]  3 Pt 2.41
S  0.0026  0.5013  0.7778 [18 per cell]  3 Pt 2.41-2.43

Output
Total DFT energy (no corrections)   -191.82 eV for the cell shown
Size of the total moment   0.000 μB per atom
V   25.53 Å³/atom
Crystal system   trigonal
Formation energy (no corrections)   -338 meV per atom

# 12
The following is a DFT calculation (PBE) of a relaxed LiCaTeH crystal.

a = 4.4013 Å, b = 4.4013 Å, c = 4.5913 Å
α = 90.00°, β = 90.00°, γ = 120.00°
Last column: nearest neighbours and their distance in Å.
Space group P3m1 (No. 156)
Symmetry-distinct sites (fractional):
Li  0.0000  0.0000  0.0000 [1 per cell]  1 H 1.83
Ca  0.6667  0.3333  0.4342 [1 per cell]  3 H 2.55
Te  0.3333  0.6667  0.8998 [1 per cell]  3 Li 2.58
H  0.0000  0.0000  0.3992 [1 per cell]  1 Li 1.83

Output
Energy above the most stable polymorph in this dataset   0 meV/atom
Total DFT energy (no corrections)   -14.15 eV for the cell shown
Size of the total moment   0.000 μB per atom
V   19.26 Å³/atom
Crystal system   trigonal

Question: Which of these has the highest size of the total moment?
Answer: LiRuOF2

Question: size of the total moment of number 4 (AcMgAl2Cu4)?
Answer: 0.000 μB per atom

Question: Number 4 is which compound?
Answer: AcMgAl2Cu4